Material: GaCo2F
Method: DFT, PBE+U
State: optimized geometry

Values from the calculation:
Its energy above the lowest structure with this stoichiometry is 28.86 kJ per mole of atoms.

Cell: 5.9972 5.9972 5.9972 Å, 90.00 90.00 90.00°
Last column: nearest neighbours and their distance in Å.
Space group Fm-3m (No. 225)
Symmetry-distinct sites (fractional):
Ga (0.0000, 0.0000, 0.0000) [4 per cell]  8 Co 2.60
Co (0.2500, 0.2500, 0.2500) [8 per cell]  4 F 2.60, 4 Ga 2.60
F (0.0000, 0.0000, 0.5000) [4 per cell]  8 Co 2.60